Entry from the Alexandria database: a relaxed structure of Nd2MgBi3 (PBE).

abc: 7.7413 7.7413 9.1582
angles: 107.10 107.10 50.25
Fractional coordinates of all 12 atoms:
1 Nd 0.1696 0.1723 0.0854
2 Nd 0.1723 0.1696 0.5854
3 Nd 0.8277 0.8304 0.4146
4 Nd 0.8304 0.8277 0.9146
5 Mg 0.4243 0.5757 0.7500
6 Mg 0.5757 0.4243 0.2500
7 Bi 0.0429 0.9571 0.2500
8 Bi 0.3437 0.3460 0.4225
9 Bi 0.3460 0.3437 0.9225
10 Bi 0.6540 0.6563 0.0775
11 Bi 0.6563 0.6540 0.5775
12 Bi 0.9571 0.0429 0.7500

Summary:
* uncorrected energy: -4.354 eV/atom
* calculated volume: 33.26 A^3/atom
* DOS(E_F): 0.788 states/eV per atom
* mass density: 7.8 g/cm3
* formation energy from the elements: -0.56 eV per atom

Entry from the Alexandria database: a relaxed structure of NdMg3Bi3 (PBE).

abc: 11.7325 11.7325 4.4920
angles: 90.00 90.00 120.00
Fractional coordinates of all 14 atoms:
1 Nd 0.3333 0.6667 0.2500
2 Nd 0.6667 0.3333 0.7500
3 Mg 0.0432 0.6253 0.7500
4 Mg 0.3747 0.4179 0.7500
5 Mg 0.4179 0.0432 0.2500
6 Mg 0.5821 0.9568 0.7500
7 Mg 0.6253 0.5821 0.2500
8 Mg 0.9568 0.3747 0.2500
9 Bi 0.1318 0.4274 0.7500
10 Bi 0.2956 0.8682 0.7500
11 Bi 0.4274 0.2956 0.2500
12 Bi 0.5726 0.7044 0.7500
13 Bi 0.7044 0.1318 0.2500
14 Bi 0.8682 0.5726 0.2500

Summary:
* uncorrected energy: -3.352 eV/atom
* calculated volume: 38.25 A^3/atom
* DOS(E_F): 0.066 states/eV per atom
* mass density: 5.2 g/cm3
* formation energy from the elements: -0.32 eV per atom

Entry from the Alexandria database: a relaxed structure of Nd2MgBi (PBE).

abc: 4.1719 4.1719 6.9254
angles: 90.00 90.00 90.00
Fractional coordinates of all 4 atoms:
1 Nd 0.0000 0.0000 0.2461
2 Nd 0.0000 0.0000 0.7539
3 Mg 0.5000 0.5000 0.5000
4 Bi 0.5000 0.5000 0.0000

Summary:
* uncorrected energy: -4.230 eV/atom
* calculated volume: 30.13 A^3/atom
* DOS(E_F): 0.723 states/eV per atom
* relative energy among the computed polymorphs: 0 meV per atom
* mass density: 7.2 g/cm3
* formation energy from the elements: -0.48 eV per atom

Entry from the Alexandria database: a relaxed structure of NdMgBi3 (PBE).

abc: 14.0273 6.5284 6.5692
angles: 90.00 90.00 90.00
Fractional coordinates of all 20 atoms:
1 Nd 0.1814 0.0013 0.2500
2 Nd 0.1814 0.4987 0.7500
3 Nd 0.8186 0.5013 0.2500
4 Nd 0.8186 0.9987 0.7500
5 Mg 0.3880 0.7500 0.0000
6 Mg 0.3880 0.7500 0.5000
7 Mg 0.6120 0.2500 0.0000
8 Mg 0.6120 0.2500 0.5000
9 Bi 0.0022 0.7500 0.0000
10 Bi 0.0022 0.7500 0.5000
11 Bi 0.2388 0.0051 0.7500
12 Bi 0.2388 0.4949 0.2500
13 Bi 0.4202 0.1730 0.2500
14 Bi 0.4202 0.3270 0.7500
15 Bi 0.5798 0.6730 0.2500
16 Bi 0.5798 0.8270 0.7500
17 Bi 0.7612 0.5051 0.7500
18 Bi 0.7612 0.9949 0.2500
19 Bi 0.9978 0.2500 0.0000
20 Bi 0.9978 0.2500 0.5000

Summary:
* uncorrected energy: -4.040 eV/atom
* calculated volume: 30.08 A^3/atom
* DOS(E_F): 0.452 states/eV per atom
* mass density: 8.8 g/cm3
* formation energy from the elements: -0.44 eV per atom

Entry from the Alexandria database: a relaxed structure of Nd5MgBi4 (PBE).

abc: 9.5263 10.1117 7.8047
angles: 90.00 90.00 90.00
Fractional coordinates of all 20 atoms:
1 Nd 0.0415 0.0460 0.2483
2 Nd 0.0415 0.4540 0.2483
3 Nd 0.2500 0.2500 0.6208
4 Nd 0.4585 0.0460 0.2483
5 Nd 0.4585 0.4540 0.2483
6 Nd 0.5415 0.5460 0.7517
7 Nd 0.5415 0.9540 0.7517
8 Nd 0.7500 0.7500 0.3792
9 Nd 0.9585 0.5460 0.7517
10 Nd 0.9585 0.9540 0.7517
11 Mg 0.2500 0.7500 0.2421
12 Mg 0.7500 0.2500 0.7579
13 Bi 0.0216 0.2500 0.9277
14 Bi 0.2500 0.5626 0.5457
15 Bi 0.2500 0.9374 0.5457
16 Bi 0.4784 0.2500 0.9277
17 Bi 0.5216 0.7500 0.0723
18 Bi 0.7500 0.0626 0.4543
19 Bi 0.7500 0.4374 0.4543
20 Bi 0.9784 0.7500 0.0723

Summary:
* uncorrected energy: -4.524 eV/atom
* calculated volume: 37.59 A^3/atom
* DOS(E_F): 1.010 states/eV per atom
* mass density: 7.0 g/cm3
* formation energy from the elements: -0.43 eV per atom

Entry from the Alexandria database: a relaxed structure of NdMg2Bi2 (PBE).

abc: 13.8264 13.8264 4.5545
angles: 90.00 90.00 161.12
Fractional coordinates of all 10 atoms:
1 Nd 0.1565 0.8435 0.7500
2 Nd 0.8435 0.1565 0.2500
3 Mg 0.0400 0.9600 0.2500
4 Mg 0.4581 0.5419 0.2500
5 Mg 0.5419 0.4581 0.7500
6 Mg 0.9600 0.0400 0.7500
7 Bi 0.2498 0.7502 0.2500
8 Bi 0.3792 0.6208 0.7500
9 Bi 0.6208 0.3792 0.2500
10 Bi 0.7502 0.2498 0.7500

Summary:
* uncorrected energy: -3.583 eV/atom
* calculated volume: 28.17 A^3/atom
* DOS(E_F): 0.334 states/eV per atom
* mass density: 7.2 g/cm3
* formation energy from the elements: -0.44 eV per atom

Entry from the Alexandria database: a relaxed structure of Nd2MgBi (PBE).

abc: 12.0313 12.0313 12.0313
angles: 17.06 17.06 17.06
Fractional coordinates of all 4 atoms:
1 Nd 0.0913 0.0913 0.0913
2 Nd 0.9087 0.9087 0.9087
3 Mg 0.5000 0.5000 0.5000
4 Bi 0.0000 0.0000 0.0000

Summary:
* uncorrected energy: -3.771 eV/atom
* calculated volume: 32.69 A^3/atom
* DOS(E_F): 1.004 states/eV per atom
* relative energy among the computed polymorphs: 459 meV per atom
* mass density: 6.6 g/cm3
* formation energy from the elements: -0.02 eV per atom

Entry from the Alexandria database: a relaxed structure of Nd6Mg5Bi (PBE).

abc: 9.5815 9.5815 9.5815
angles: 146.43 132.47 59.44
Fractional coordinates of all 12 atoms:
1 Nd 0.0814 0.8321 0.2493
2 Nd 0.2500 0.5000 0.7500
3 Nd 0.4172 0.1679 0.2493
4 Nd 0.5828 0.8321 0.7507
5 Nd 0.7500 0.5000 0.2500
6 Nd 0.9186 0.1679 0.7507
7 Mg 0.0000 0.0000 0.0000
8 Mg 0.1656 0.6656 0.5000
9 Mg 0.3275 0.3275 0.0000
10 Mg 0.6725 0.6725 0.0000
11 Mg 0.8344 0.3344 0.5000
12 Bi 0.5000 0.0000 0.5000

Summary:
* uncorrected energy: -3.596 eV/atom
* calculated volume: 29.63 A^3/atom
* DOS(E_F): 1.004 states/eV per atom
* mass density: 5.6 g/cm3
* formation energy from the elements: -0.22 eV per atom